1.
This record from the Alexandria database describes crystalline LiGeF3 at its relaxed geometry. The functional is PBE-GGA. Values from VASP.

Summary:
* ΔE to the lowest computed polymorph: 438 meV/atom
* total magnetic moment: 0.00 μB per formula unit
* E_tot: -4.468 eV per atom

```
&SYSTEM
  ibrav = 0, nat = 5, ntyp = 3
/
ATOMIC_SPECIES
Li 6.94 Li.upf
Ge 72.64 Ge.upf
F 19.00 F.upf
CELL_PARAMETERS angstrom
4.376 0.000 0.000
0.000 4.376 0.000
0.000 0.000 4.376
ATOMIC_POSITIONS angstrom
Li 0.000 0.000 0.000
Ge 2.188 2.188 2.188
F 0.000 2.188 2.188
F 2.188 0.000 2.188
F 2.188 2.188 0.000
```

***

2.
This record from the Alexandria database describes crystalline LiGeF2 at its relaxed geometry. The functional is PBE-GGA. Values from VASP.

Summary:
* ΔE to the lowest computed polymorph: 391 meV/atom
* total magnetic moment: 0.81 μB per formula unit
* E_tot: -4.348 eV per atom

```
&SYSTEM
  ibrav = 0, nat = 8, ntyp = 3
/
ATOMIC_SPECIES
Li 6.94 Li.upf
Ge 72.64 Ge.upf
F 19.00 F.upf
CELL_PARAMETERS angstrom
-2.570 2.570 4.340
2.570 -2.570 4.340
2.570 2.570 -4.340
ATOMIC_POSITIONS angstrom
Li 0.000 0.000 0.000
Li 0.000 2.570 2.170
Ge 2.570 0.000 2.170
Ge 0.000 0.000 4.340
F 3.855 0.810 -1.085
F 0.810 1.285 1.085
F -1.285 1.760 3.255
F 1.760 1.285 5.425
```

***

3.
This record from the Alexandria database describes crystalline Li2MgGeF at its relaxed geometry. The functional is PBE-GGA. Values from VASP.

Summary:
* total magnetic moment: 0.00 μB per formula unit
* E_tot: -3.586 eV per atom

```
&SYSTEM
  ibrav = 0, nat = 5, ntyp = 4
/
ATOMIC_SPECIES
Li 6.94 Li.upf
Mg 24.30 Mg.upf
Ge 72.64 Ge.upf
F 19.00 F.upf
CELL_PARAMETERS angstrom
4.011 0.000 0.000
0.000 4.011 0.000
0.000 0.000 4.513
ATOMIC_POSITIONS angstrom
Li 0.000 2.006 0.000
Li 2.006 0.000 0.000
Mg 0.000 0.000 2.257
Ge 2.006 2.006 2.257
F 0.000 0.000 0.000
```